The following is a DFT calculation (PBE) of a relaxed LiAc2Zn3Cu12 crystal.

POSCAR file:
```
LiAc2Zn3Cu12
1.0
9.368 1.768 1.254
6.164 7.273 1.254
6.164 3.588 6.449
Zn Cu Ac Li
3 12 2 1
Direct
0.000 0.000 0.500
0.500 0.000 0.000
0.000 0.500 0.000
0.940 0.343 0.940
0.657 0.060 0.060
0.581 0.196 0.581
0.804 0.419 0.419
0.343 0.940 0.940
0.581 0.581 0.196
0.419 0.804 0.419
0.196 0.581 0.581
0.060 0.657 0.060
0.060 0.060 0.657
0.419 0.419 0.804
0.940 0.940 0.343
0.347 0.347 0.347
0.653 0.653 0.653
0.000 0.000 0.000
```

For the density of states at the Fermi level, the calculation gives 0.443 states/eV/atom. The formation energy from the elements is 0.131 eV per atom. For the calculated density, the calculation gives 7.55 g/cm3. The space-group type is R-3m, No. 166. The calculation puts the size of the total moment at 0.00 μB/atom.

=====

The following is a DFT calculation (PBE) of a relaxed LiAc2Zn6Cu crystal.

POSCAR file:
```
LiAc2Zn6Cu
1.0
-3.476 5.117 -2.801
-1.895 -3.975 -4.910
-6.410 -0.826 -1.291
Zn Li Ac Cu
6 1 2 1
Direct
0.662 0.749 0.501
0.338 0.838 0.914
0.662 0.162 0.086
0.338 0.249 0.914
0.662 0.751 0.086
0.338 0.251 0.499
0.000 0.000 0.000
0.859 0.287 0.425
0.141 0.713 0.575
0.500 0.500 0.000
```

For the density of states at the Fermi level, the calculation gives 0.561 states/eV/atom. The formation energy from the elements is -0.183 eV per atom. For the calculated density, the calculation gives 7.19 g/cm3. The space-group type is C2/m, No. 12. The calculation puts the size of the total moment at 0.00 μB/atom.

=====

The following is a DFT calculation (PBE) of a relaxed LiAc3Zn2Cu6 crystal.

POSCAR file:
```
LiAc3Zn2Cu6
1.0
-3.280 -1.224 4.959
5.941 1.143 0.497
-1.600 7.924 0.897
Cu Zn Li Ac
6 2 1 3
Direct
0.197 0.803 0.384
0.393 0.197 0.616
0.607 0.803 0.384
0.803 0.607 0.616
0.803 0.197 0.616
0.197 0.393 0.384
0.667 0.333 0.874
0.333 0.667 0.126
0.000 0.000 0.500
0.333 0.667 0.736
0.000 0.000 0.000
0.667 0.333 0.264
```

For the density of states at the Fermi level, the calculation gives 0.828 states/eV/atom. The formation energy from the elements is -0.030 eV per atom. For the calculated density, the calculation gives 7.68 g/cm3. The space-group type is P-3m1, No. 164. The calculation puts the size of the total moment at 0.00 μB/atom.

=====

The following is a DFT calculation (PBE) of a relaxed AcLu3Cu crystal.

POSCAR file:
```
AcLu3Cu
1.0
-2.844 0.175 4.523
4.186 -1.932 2.706
1.723 4.981 0.891
Lu Ac Cu
3 1 1
Direct
0.000 0.500 0.000
0.000 0.000 0.500
0.500 0.000 0.000
0.500 0.500 0.500
0.000 0.000 0.000
```

For the density of states at the Fermi level, the calculation gives 1.065 states/eV/atom. The formation energy from the elements is 0.017 eV per atom. For the calculated density, the calculation gives 8.86 g/cm3. The space-group type is Pm-3m, No. 221. The calculation puts the size of the total moment at 0.00 μB/atom.

=====

The following is a DFT calculation (PBE) of a relaxed AcLuCu2 crystal.

POSCAR file:
```
AcLuCu2
1.0
5.119 0.000 0.000
2.560 4.433 0.000
2.560 1.478 4.180
Lu Cu Ac
1 2 1
Direct
0.000 0.000 0.000
0.250 0.250 0.250
0.750 0.750 0.750
0.500 0.500 0.500
```

For the density of states at the Fermi level, the calculation gives 0.993 states/eV/atom. The formation energy from the elements is -0.107 eV per atom. The energy above the most stable polymorph in this dataset comes out at 65 meV per atom. For the calculated density, the calculation gives 9.26 g/cm3. The space-group type is Fm-3m, No. 225. The calculation puts the size of the total moment at 0.00 μB/atom.

=====

The following is a DFT calculation (PBE) of a relaxed AcLuCu2 crystal.

POSCAR file:
```
AcLuCu2
1.0
3.575 0.000 0.000
0.000 3.575 0.000
0.000 0.000 7.233
Ac Lu Cu
1 1 2
Direct
0.500 0.500 0.500
0.500 0.500 0.000
0.000 0.000 0.800
0.000 0.000 0.200
```

For the density of states at the Fermi level, the calculation gives 0.538 states/eV/atom. The formation energy from the elements is -0.172 eV per atom. The energy above the most stable polymorph in this dataset comes out at 0 meV per atom. For the calculated density, the calculation gives 9.50 g/cm3. The space-group type is P4/mmm, No. 123. The calculation puts the size of the total moment at 0.00 μB/atom.

=====

The following is a DFT calculation (PBE) of a relaxed AcLuCu2 crystal.

POSCAR file:
```
AcLuCu2
1.0
-4.686 0.863 -0.221
-3.064 -3.607 -0.598
-2.918 -1.458 4.717
Lu Cu Ac
1 2 1
Direct
0.000 0.000 0.000
0.296 0.296 0.111
0.704 0.704 0.889
0.500 0.500 0.500
```

For the density of states at the Fermi level, the calculation gives 0.573 states/eV/atom. The formation energy from the elements is -0.155 eV per atom. The energy above the most stable polymorph in this dataset comes out at 17 meV per atom. For the calculated density, the calculation gives 8.86 g/cm3. The space-group type is R-3m, No. 166. The calculation puts the size of the total moment at 0.00 μB/atom.

=====

The following is a DFT calculation (PBE) of a relaxed AcLuCu4 crystal.

POSCAR file:
```
AcLuCu4
1.0
5.403 0.000 0.000
2.702 4.679 0.000
2.702 1.560 4.412
Cu Lu Ac
4 1 1
Direct
0.628 0.628 0.116
0.628 0.116 0.628
0.628 0.628 0.628
0.116 0.628 0.628
0.000 0.000 0.000
0.250 0.250 0.250
```

For the density of states at the Fermi level, the calculation gives 0.744 states/eV/atom. The formation energy from the elements is -0.050 eV per atom. For the calculated density, the calculation gives 9.77 g/cm3. The space-group type is F-43m, No. 216. The calculation puts the size of the total moment at 0.00 μB/atom.